(1)
HfNi2AsPb after structural relaxation, computed with PBE-GGA.

## Properties
DOS at the Fermi energy ... 2.65 states/eV/cell
E_form ... 597 meV per atom
E ... -5.3781 eV per atom

a = 4.764 Å, b = 4.764 Å, c = 5.113 Å
α = 90.00°, β = 90.00°, γ = 90.00°
Space group P4/mmm (No. 123)
Inequivalent atoms, fractional coordinates:
1 Hf 0.000 0.000 0.000 (multiplicity 1)
2 Ni 0.000 0.500 0.000 (multiplicity 2)
3 As 0.000 0.000 0.500 (multiplicity 1)
4 Pb 0.500 0.500 0.500 (multiplicity 1)



(2)
PmHfNi2As2 after structural relaxation, computed with PBE-GGA.

## Properties
DOS at the Fermi energy ... 3.43 states/eV/cell
E_form ... -915 meV per atom
E ... -6.8422 eV per atom

a = 3.9972 Å, b = 3.9972 Å, c = 7.6451 Å
α = 90.00°, β = 90.00°, γ = 120.00°
Space group P-3m1 (No. 164)
Inequivalent atoms, fractional coordinates:
1 Pm 0.0000 0.0000 0.0000 (multiplicity 1)
2 Hf 0.0000 0.0000 0.5000 (multiplicity 1)
3 Ni 0.3333 0.6667 0.7082 (multiplicity 2)
4 As 0.3333 0.6667 0.2611 (multiplicity 2)



(3)
Hf2NiAsPt after structural relaxation, computed with PBE-GGA.

## Properties
DOS at the Fermi energy ... 4.99 states/eV/cell
E_form ... 326 meV per atom
E ... -6.9502 eV per atom

a = 4.987 Å, b = 4.987 Å, c = 4.600 Å
α = 90.00°, β = 90.00°, γ = 90.00°
Space group P4/mmm (No. 123)
Inequivalent atoms, fractional coordinates:
1 Hf 0.000 0.500 0.000 (multiplicity 2)
2 Ni 0.000 0.000 0.500 (multiplicity 1)
3 As 0.500 0.500 0.500 (multiplicity 1)
4 Pt 0.000 0.000 0.000 (multiplicity 1)